1.
Entry from Alexandria via LeMat-Bulk: a relaxed Sm12NiSb6 crystal (GGA-PBE).

Values from the calculation:
Magnetization, μB per formula unit: 0.00
SG: R-3, No. 148
Formation energy without anion corrections, meV per atom: -652
Fermi-level density of states, states/eV/cell: 13.7

```
Sm12NiSb6
1.0
6.653 3.841 4.109
-6.653 3.841 4.109
0.000 -7.682 4.109
Sm Ni Sb
12 1 6
Cartesian
-4.471 -4.550 6.776
-6.176 1.597 5.552
-1.494 -1.902 4.790
1.705 -6.147 5.552
-0.900 2.245 4.790
-2.394 0.343 7.538
2.394 -0.343 4.790
0.900 -2.245 7.538
-1.705 6.147 6.776
1.494 1.902 7.538
6.176 -1.597 6.776
4.471 4.550 5.552
0.000 0.000 0.000
-3.446 0.528 4.415
1.266 -3.248 4.415
-2.180 -2.720 7.913
2.180 2.720 4.415
-1.266 3.248 7.913
3.446 -0.528 7.913
```

***

2.
Entry from Alexandria via LeMat-Bulk: a relaxed Li3Mg13 crystal (GGA-PBE).

Values from the calculation:
Magnetization, μB per formula unit: 0.00
SG: Amm2, No. 38
Fermi-level density of states, states/eV/cell: 6.9
E_form, eV/atom: -0.010

```
Li3Mg13
1.0
6.682 0.000 0.000
0.000 5.109 5.136
0.000 -5.109 5.136
Li Mg
3 13
Cartesian
0.000 0.000 0.000
1.648 0.000 2.484
5.034 0.000 2.484
0.000 -2.459 2.537
0.000 0.000 4.991
0.000 2.459 2.537
1.642 -2.601 5.103
1.642 2.601 5.103
1.657 0.000 7.688
3.341 0.000 0.055
3.341 -2.454 2.535
3.341 2.454 2.535
3.341 0.000 5.000
5.026 0.000 7.688
5.040 -2.601 5.103
5.040 2.601 5.103
```

***

3.
Entry from Alexandria via LeMat-Bulk: a relaxed Ta6NbRh crystal (GGA-PBE).

Values from the calculation:
Magnetization, μB per formula unit: 0.00
SG: R-3m, No. 166
Fermi-level density of states, states/eV/cell: 8.1
E_form, eV/atom: 0.064

```
Ta6NbRh
1.0
4.780 2.760 1.838
-4.780 2.760 1.838
0.000 -5.520 1.838
Ta Nb Rh
6 1 1
Cartesian
0.000 -2.735 2.279
-2.368 1.367 2.279
-2.368 -1.367 3.236
2.368 1.367 2.279
2.368 -1.367 3.236
0.000 2.735 3.236
0.000 0.000 0.000
0.000 0.000 2.757
```

***

4.
Entry from Alexandria via LeMat-Bulk: a relaxed Ba6TlP2I3 crystal (GGA-PBE).

Values from the calculation:
Magnetization, μB per formula unit: 1.20
SG: C2/m, No. 12
Formation energy without anion corrections, meV per atom: -1199
Fermi-level density of states, states/eV/cell: 4.2

```
Ba6TlP2I3
1.0
11.018 -2.383 0.000
11.018 2.383 0.000
-2.761 0.000 10.002
Ba Tl P I
6 1 2 3
Cartesian
-0.281 0.000 2.517
5.849 0.000 4.444
4.965 0.000 8.734
14.309 0.000 1.268
13.425 0.000 5.558
19.555 0.000 7.485
11.018 0.000 0.000
2.804 0.000 3.412
16.470 0.000 6.590
1.341 0.000 8.307
9.637 0.000 5.001
17.933 0.000 1.695
```

***

5.
Entry from Alexandria via LeMat-Bulk: a relaxed Sm2AsN crystal (GGA-PBE).

Values from the calculation:
Magnetization, μB per formula unit: 0.00
SG: Cmcm, No. 63
Formation energy without anion corrections, meV per atom: -1059
Fermi-level density of states, states/eV/cell: 2.7

```
Sm2AsN
1.0
1.687 -8.016 0.000
1.687 8.016 0.000
0.000 0.000 6.385
Sm As N
4 2 2
Cartesian
0.000 0.000 0.000
0.000 0.000 3.192
1.687 5.134 4.788
1.687 -5.134 1.596
1.687 5.388 1.596
1.687 -5.388 4.788
1.687 1.042 1.596
1.687 -1.042 4.788
```

***

6.
Entry from Alexandria via LeMat-Bulk: a relaxed CaHoSnBi crystal (GGA-PBE).

Values from the calculation:
Magnetization, μB per formula unit: 0.00
SG: F-43m, No. 216
Fermi-level density of states, states/eV/cell: 4.0
E_form, eV/atom: -0.536

```
CaHoSnBi
1.0
0.000 3.880 3.880
3.880 0.000 3.880
3.880 3.880 0.000
Ca Ho Sn Bi
1 1 1 1
Cartesian
0.000 0.000 0.000
3.880 3.880 3.880
5.820 5.820 5.820
1.940 1.940 1.940
```